A geometry-optimized SiMoNF2 structure, computed with PBE with a Hubbard U.

Geometry as POSCAR:
```
SiMoNF2
1.0
4.201 0.000 0.000
0.000 4.201 0.000
0.000 0.000 4.121
Si Mo N F
1 1 1 2
direct
0.000 0.000 0.000
0.500 0.500 0.500
0.500 0.500 0.000
0.000 0.500 0.500
0.500 0.000 0.500
```

Properties
calculated volume: 14.55 Å³/atom
size of the total moment: 2.594 μB/f.u.
space group: P4/mmm, No. 123
electronic total energy: -26.752 eV per formula unit